Material: TaCo3Os
Method: DFT, GGA-PBE
State: optimized geometry

```
TaCo3Os
1.0
-1.051 0.592 4.844
-2.426 -5.548 1.465
4.600 0.239 0.969
Ta Co Os
2 6 2
direct
0.217 0.184 0.592 Ta
0.783 0.816 0.408 Ta
0.330 0.677 0.097 Co
0.670 0.323 0.903 Co
0.330 0.676 0.581 Co
0.670 0.324 0.419 Co
0.108 0.402 0.201 Co
0.892 0.598 0.799 Co
0.000 0.000 0.000 Os
0.500 0.000 0.000 Os
```

## Properties
Density of states at the Fermi level = 7.7 states/eV/f.u.
E above lowest polymorph = 0.00 eV per formula unit
Formation energy from the elements = 0.03 eV per atom
SG = No. 12